The following is a PBE-GGA calculation of an optimized crystal structure of AcAgNO, from OQMD.

Computed properties:
M_tot: 3.97 μB per cell
ΔE to the lowest computed polymorph: 0.85 eV per formula unit
Crystal system: orthorhombic

abc: 7.3173 6.5825 5.6144
angles: 90.00 90.00 90.00
Fractional positions:
Ac  0.0863  0.2368  0.0000
Ac  0.4137  0.2368  0.5000
Ac  0.5863  0.7632  0.0000
Ac  0.9137  0.7632  0.5000
Ag  0.1482  0.7186  0.0187
Ag  0.3518  0.7186  0.5187
Ag  0.6482  0.2814  0.0187
Ag  0.8518  0.2814  0.5187
N  0.0847  0.1046  0.4578
N  0.4153  0.1046  0.9578
N  0.5847  0.8954  0.4578
N  0.9153  0.8954  0.9578
O  0.1532  0.4985  0.6522
O  0.3468  0.4985  0.1522
O  0.6532  0.5015  0.6522
O  0.8468  0.5015  0.1522